(1)
VASP calculation (PBEsol) on a relaxed BaCdP crystal.

Its magnetic moment is 0.000 μB per cell. The calculation puts the volume at 26.30 Å³/atom. As for the symmetry: I4mm (107).

abc: 6.2052 6.2052 6.2052
angles: 144.82 144.82 50.60
With the nearest neighbours (Å) after each atom.
Fractional positions:
Ba (0.0000, 0.0000, 0.0000)  5 Cd 3.26-3.54, 5 P 3.39-3.46
Cd (0.2910, 0.2910, 0.0000)  4 P 2.85
P (0.6978, 0.6978, 0.0000)  4 Cd 2.85



(2)
VASP calculation (PBEsol) on a relaxed BaCdP crystal.

Its magnetic moment is 0.000 μB per cell. The calculation puts the volume at 28.58 Å³/atom. As for the symmetry: C2/m (12).

abc: 5.8957 5.8957 7.1089
angles: 99.45 99.45 44.84
With the nearest neighbours (Å) after each atom.
Fractional positions:
Ba (0.1202, 0.1202, 0.2976)  4 P 3.21-3.26, 3 Cd 3.43-3.53
Ba (0.8798, 0.8798, 0.7024)  4 P 3.21-3.26, 3 Cd 3.43-3.53
Cd (0.3818, 0.3818, 0.0671)  3 P 2.69-2.79, 1 Cd 2.90
Cd (0.6182, 0.6182, 0.9329)  3 P 2.69-2.79, 1 Cd 2.90
P (0.1803, 0.1803, 0.7635)  3 Cd 2.69-2.79
P (0.8197, 0.8197, 0.2365)  3 Cd 2.69-2.79



The most stable of them is (2).



(1)
VASP calculation (PBEsol) on a relaxed Ba2CdPb crystal.

Its magnetic moment is 0.000 μB per cell. The calculation puts the volume at 36.78 Å³/atom. As for the symmetry: Fm-3m (225).

abc: 5.9255 5.9255 5.9255
angles: 60.00 60.00 60.00
With the nearest neighbours (Å) after each atom.
Fractional positions:
Ba (0.2500, 0.2500, 0.2500)  4 Cd 3.63, 4 Pb 3.63
Ba (0.7500, 0.7500, 0.7500)  4 Cd 3.63, 4 Pb 3.63
Cd (0.0000, 0.0000, 0.0000)  8 Ba 3.63
Pb (0.5000, 0.5000, 0.5000)  8 Ba 3.63



(2)
VASP calculation (PBEsol) on a relaxed Ba2CdPb crystal.

Its magnetic moment is 0.000 μB per cell. The calculation puts the volume at 45.61 Å³/atom. As for the symmetry: R3m (160).

abc: 9.1982 9.1982 9.1982
angles: 30.94 30.94 30.94
With the nearest neighbours (Å) after each atom.
Fractional positions:
Ba (0.0000, 0.0000, 0.0000)  3 Cd 3.48, 3 Pb 3.87
Ba (0.1787, 0.1787, 0.1787)  3 Pb 3.50, 3 Cd 3.89
Cd (0.7438, 0.7438, 0.7438)  3 Pb 2.90
Pb (0.4338, 0.4338, 0.4338)  3 Cd 2.90



(3)
VASP calculation (PBEsol) on a relaxed Ba2CdPb crystal.

Its magnetic moment is 0.000 μB per cell. The calculation puts the volume at 36.85 Å³/atom. As for the symmetry: P4/mmm (123).

abc: 4.1456 4.1456 8.5767
angles: 90.00 90.00 90.00
With the nearest neighbours (Å) after each atom.
Fractional positions:
Ba (0.0000, 0.0000, 0.2474)  4 Cd 3.62, 4 Pb 3.64
Ba (0.0000, 0.0000, 0.7526)  4 Cd 3.62, 4 Pb 3.64
Cd (0.5000, 0.5000, 0.0000)  8 Ba 3.62
Pb (0.5000, 0.5000, 0.5000)  8 Ba 3.64



(4)
VASP calculation (PBEsol) on a relaxed Ba2CdPb crystal.

Its magnetic moment is 0.000 μB per cell. The calculation puts the volume at 36.01 Å³/atom. As for the symmetry: Pmm2 (25).

abc: 4.1528 5.7193 6.0654
angles: 90.00 90.00 90.00
With the nearest neighbours (Å) after each atom.
Fractional positions:
Ba (0.0000, 0.0000, 0.0000)  4 Pb 3.56-3.79, 4 Cd 3.59, 2 Ba 3.83
Ba (0.0000, 0.5000, 0.4195)  4 Cd 3.56-3.79, 4 Pb 3.59, 2 Ba 3.83
Cd (0.5000, 0.5000, 0.8960)  8 Ba 3.56-3.79, 2 Pb 3.65
Pb (0.5000, 0.0000, 0.5232)  8 Ba 3.56-3.79, 2 Cd 3.65



The most stable of them is (1).



(1)
VASP calculation (PBEsol) on a relaxed BaCd2Sb2 crystal.

Its magnetic moment is 0.000 μB per cell. The calculation puts the volume at 29.66 Å³/atom. As for the symmetry: I4/mmm (139).

abc: 7.9174 7.9174 7.9174
angles: 146.79 146.79 47.67
With the nearest neighbours (Å) after each atom.
Fractional positions:
Ba (0.0000, 0.0000, 0.0000)  8 Sb 3.65
Cd (0.2500, 0.7500, 0.5000)  4 Sb 2.93, 4 Cd 3.20
Cd (0.7500, 0.2500, 0.5000)  4 Sb 2.93, 4 Cd 3.20
Sb (0.3787, 0.3787, 0.0000)  4 Cd 2.93
Sb (0.6213, 0.6213, 0.0000)  4 Cd 2.93



(2)
VASP calculation (PBEsol) on a relaxed BaCd2Sb2 crystal.

Its magnetic moment is 0.000 μB per cell. The calculation puts the volume at 31.50 Å³/atom. As for the symmetry: P-3m1 (164).

abc: 4.7721 4.7721 7.9851
angles: 90.00 90.00 120.00
With the nearest neighbours (Å) after each atom.
Fractional positions:
Ba (0.0000, 0.0000, 0.0000)  6 Sb 3.46
Cd (0.3333, 0.6667, 0.3669)  4 Sb 2.88-2.96
Cd (0.6667, 0.3333, 0.6331)  4 Sb 2.88-2.96
Sb (0.3333, 0.6667, 0.7373)  4 Cd 2.88-2.96
Sb (0.6667, 0.3333, 0.2627)  4 Cd 2.88-2.96



The most stable of them is (2).



(1)
VASP calculation (PBEsol) on a relaxed BaScCd2 crystal.

Its magnetic moment is 0.000 μB per cell. The calculation puts the volume at 28.06 Å³/atom. As for the symmetry: Fm-3m (225).

abc: 5.4146 5.4146 5.4146
angles: 60.00 60.00 60.00
With the nearest neighbours (Å) after each atom.
Fractional positions:
Ba (0.0000, 0.0000, 0.0000)  8 Cd 3.32
Sc (0.5000, 0.5000, 0.5000)  8 Cd 3.32
Cd (0.2500, 0.2500, 0.2500)  4 Ba 3.32, 4 Sc 3.32
Cd (0.7500, 0.7500, 0.7500)  4 Ba 3.32, 4 Sc 3.32



(2)
VASP calculation (PBEsol) on a relaxed BaScCd2 crystal.

Its magnetic moment is 0.001 μB per cell. The calculation puts the volume at 26.07 Å³/atom. As for the symmetry: F-43m (216).

abc: 5.2833 5.2833 5.2833
angles: 60.00 60.00 60.00
With the nearest neighbours (Å) after each atom.
Fractional positions:
Ba (0.0000, 0.0000, 0.0000)  4 Sc 3.24, 4 Cd 3.24
Sc (0.7500, 0.7500, 0.7500)  4 Cd 3.24, 4 Ba 3.24
Cd (0.2500, 0.2500, 0.2500)  4 Cd 3.24, 4 Ba 3.24
Cd (0.5000, 0.5000, 0.5000)  4 Sc 3.24, 4 Cd 3.24



The most stable of them is (1).



(1)
VASP calculation (PBEsol) on a relaxed BaScCd2 crystal.

Its magnetic moment is 0.000 μB per cell. The calculation puts the volume at 28.02 Å³/atom. As for the symmetry: R-3m (166).

abc: 10.2612 10.2612 10.2612
angles: 20.14 20.14 20.14
With the nearest neighbours (Å) after each atom.
Fractional positions:
Ba (0.0000, 0.0000, 0.0000)  6 Cd 3.54, 6 Ba 3.59
Sc (0.5000, 0.5000, 0.5000)  6 Cd 2.99
Cd (0.2383, 0.2383, 0.2383)  3 Sc 2.99
Cd (0.7617, 0.7617, 0.7617)  3 Sc 2.99



(2)
VASP calculation (PBEsol) on a relaxed BaScCd2 crystal.

Its magnetic moment is 0.000 μB per cell. The calculation puts the volume at 26.98 Å³/atom. As for the symmetry: P4/mmm (123).

abc: 3.6528 3.6528 8.0897
angles: 90.00 90.00 90.00
With the nearest neighbours (Å) after each atom.
Fractional positions:
Ba (0.0000, 0.0000, 0.0000)  8 Cd 3.58, 4 Ba 3.65
Sc (0.0000, 0.0000, 0.5000)  8 Cd 3.02
Cd (0.5000, 0.5000, 0.3068)  4 Sc 3.02, 1 Cd 3.13
Cd (0.5000, 0.5000, 0.6932)  4 Sc 3.02, 1 Cd 3.13



The most stable of them is (2).



(1)
VASP calculation (PBEsol) on a relaxed BaScCd crystal.

Its magnetic moment is 0.000 μB per cell. The calculation puts the volume at 31.35 Å³/atom. As for the symmetry: P-6m2 (187).

abc: 5.2395 5.2395 3.9556
angles: 90.00 90.00 120.00
With the nearest neighbours (Å) after each atom.
Fractional positions:
Ba (0.0000, 0.0000, 0.0000)  6 Sc 3.61, 6 Cd 3.61, 2 Ba 3.96
Sc (0.6667, 0.3333, 0.5000)  3 Cd 3.03
Cd (0.3333, 0.6667, 0.5000)  3 Sc 3.03



(2)
VASP calculation (PBEsol) on a relaxed BaScCd crystal.

Its magnetic moment is 0.000 μB per cell. The calculation puts the volume at 34.72 Å³/atom. As for the symmetry: F-43m (216).

abc: 5.2815 5.2815 5.2815
angles: 60.00 60.00 60.00
With the nearest neighbours (Å) after each atom.
Fractional positions:
Ba (0.0000, 0.0000, 0.0000)  4 Sc 3.23, 4 Cd 3.23
Sc (0.7500, 0.7500, 0.7500)  4 Ba 3.23
Cd (0.2500, 0.2500, 0.2500)  4 Ba 3.23



The most stable of them is (1).



(1)
VASP calculation (PBEsol) on a relaxed Ba2CdSe crystal.

Its magnetic moment is 0.000 μB per cell. The calculation puts the volume at 34.06 Å³/atom. As for the symmetry: I-4m2 (119).

abc: 6.9599 6.9599 6.9599
angles: 140.33 140.33 57.35
With the nearest neighbours (Å) after each atom.
Fractional positions:
Ba (0.0000, 0.0000, 0.0000)  4 Cd 3.34
Ba (0.7500, 0.2500, 0.5000)  4 Se 3.34
Cd (0.5000, 0.5000, 0.0000)  4 Ba 3.34
Se (0.2500, 0.7500, 0.5000)  4 Ba 3.34



(2)
VASP calculation (PBEsol) on a relaxed Ba2CdSe crystal.

Its magnetic moment is 0.000 μB per cell. The calculation puts the volume at 38.61 Å³/atom. As for the symmetry: Imm2 (44).

abc: 9.0817 9.0817 9.0817
angles: 153.65 152.27 38.62
With the nearest neighbours (Å) after each atom.
Fractional positions:
Ba (0.0000, 0.0000, 0.0000)  4 Se 3.25, 2 Cd 3.64
Ba (0.7228, 0.2228, 0.5000)  2 Se 3.30, 4 Cd 3.52
Cd (0.3297, 0.8297, 0.5000)  6 Ba 3.52-3.64
Se (0.5732, 0.5732, 0.0000)  6 Ba 3.25-3.30



The most stable of them is (2).



(1)
VASP calculation (PBEsol) on a relaxed BaTa2Cd crystal.

Its magnetic moment is 0.000 μB per cell. The calculation puts the volume at 25.52 Å³/atom. As for the symmetry: Cm (8).

abc: 4.9758 4.9758 7.1802
angles: 95.00 95.00 35.21
With the nearest neighbours (Å) after each atom.
Fractional positions:
Ba (0.0000, 0.0000, 0.0000)  2 Ba 3.01, 1 Cd 3.37
Ta (0.5187, 0.5187, 0.4474)  3 Ta 2.66-2.75
Ta (0.7813, 0.7813, 0.3471)  3 Ta 2.66-2.75, 2 Cd 2.92
Cd (0.2452, 0.2452, 0.6887)  5 Ta 2.92-3.25, 2 Cd 3.01



(2)
VASP calculation (PBEsol) on a relaxed BaTa2Cd crystal.

Its magnetic moment is 0.000 μB per cell. The calculation puts the volume at 24.86 Å³/atom. As for the symmetry: P2/m (10).

abc: 2.9847 5.1667 6.4917
angles: 90.00 96.63 90.00
With the nearest neighbours (Å) after each atom.
Fractional positions:
Ba (0.0000, 0.0000, 0.0000)  2 Ba 2.98
Ta (0.2893, 0.5000, 0.6695)  2 Ta 2.64-2.66, 2 Cd 2.91
Ta (0.7107, 0.5000, 0.3305)  2 Ta 2.64-2.66, 2 Cd 2.91
Cd (0.5000, 0.0000, 0.5000)  4 Ta 2.91, 2 Cd 2.98



(3)
VASP calculation (PBEsol) on a relaxed BaTa2Cd crystal.

Its magnetic moment is 0.000 μB per cell. The calculation puts the volume at 22.72 Å³/atom. As for the symmetry: Cmm2 (35).

abc: 3.0180 3.0180 10.4137
angles: 90.00 90.00 106.67
With the nearest neighbours (Å) after each atom.
Fractional positions:
Ba (0.0000, 0.0000, 0.0000)  4 Ba 3.02
Ta (0.0000, 0.0000, 0.5124)  6 Ta 2.71-3.02, 2 Cd 2.95
Ta (0.5000, 0.5000, 0.7070)  6 Ta 2.71-3.02
Cd (0.5000, 0.5000, 0.2882)  2 Ta 2.95, 4 Cd 3.02



The most stable of them is (3).